No. 1
PBEsol Mg2MoOs, relaxed; uncorrected energy = -26.1 eV/f.u.; energy above the most stable polymorph in this dataset = 0.266 eV per atom; SG = P2/m, No. 10; theoretical density = 8.8 g/cm3; E_form = 0.33 eV/atom
1.0
2.682 0.000 0.000
0.000 4.566 0.000
-1.225 0.000 5.139
Mg Mo Os
2 1 1
Direct
0.224 0.000 0.254
0.776 0.000 0.746
0.500 0.500 0.000
0.000 0.500 0.500

No. 2
PBEsol Mg2MoOs, relaxed; uncorrected energy = -27.1 eV/f.u.; energy above the most stable polymorph in this dataset = 0.000 eV per atom; SG = P4mm, No. 99; theoretical density = 8.2 g/cm3; E_form = 0.07 eV/atom
1.0
3.061 0.000 0.000
0.000 3.061 0.000
0.000 0.000 7.222
Mg Mo Os
2 1 1
Direct
0.000 0.000 0.000
0.500 0.500 0.304
0.000 0.000 0.565
0.500 0.500 0.757

No. 3
PBEsol MgZn2MoOs, relaxed; uncorrected energy = -24.2 eV/f.u.; SG = P4/mmm, No. 123; theoretical density = 6.9 g/cm3; E_form = 0.94 eV/atom
1.0
4.757 0.000 0.000
0.000 4.757 0.000
0.000 0.000 4.701
Mg Zn Mo Os
1 2 1 1
Direct
0.000 0.000 0.000
0.000 0.500 0.500
0.500 0.000 0.500
0.500 0.500 0.000
0.500 0.500 0.500